Entry 1:
A geometry-optimized PmTcNiGe2 structure, computed with PBE-GGA.

The space group is I-4m2 (No. 119) and the conventional cell measures 4.139, 4.139 and 10.470 Å, with angles of 90.00, 90.00 and 90.00 degrees. The inequivalent atoms are Pm at (0.000, 0.000, 0.000), Tc at (0.000, 0.500, 0.250), Ni at (0.000, 0.500, 0.750) and Ge at (0.000, 0.000, 0.373).

=====

Entry 2:
A geometry-optimized KPtBr structure, computed with PBE-GGA.

The space group is P4/nmm (No. 129, origin choice 2) and the conventional cell measures 5.429, 5.429 and 6.110 Å, with angles of 90.00, 90.00 and 90.00 degrees. The inequivalent atoms are K at (0.250, 0.250, 0.100), Pt at (0.250, 0.250, 0.583) and Br at (0.250, 0.750, 0.500).

The uncorrected formation energy is -0.031 eV/atom. As for the excess energy over the best structure of this formula in the dataset: 1.92 eV per formula unit.

=====

no.,spin magnetization (μB/f.u.),mass density (g/cm³),calculated total energy (eV per cell)
1,0.00,8.275,-65.79
2,0.00,5.792,-17.81